Below is RbHfSbI2 after structural relaxation, with properties calculated at the GGA-PBE level.

Unit cell a=5.920 b=5.920 c=5.563 alpha=90.00 beta=90.00 gamma=90.00
Positions (direct):
I 0.000 0.500 0.000
I 0.500 0.000 0.000
Hf 0.000 0.000 0.000
Rb 0.500 0.500 0.500
Sb 0.000 0.000 0.500

For the uncorrected formation energy, the calculation gives -52.8 kJ/mol of atoms. The polymorph energy (0 for the lowest one) comes out at 0 kJ/mol of formula units. Its total moment is 0.000 μB per atom. As for the crystal system: tetragonal.